Entry 1:
Below is crystalline NpFeSi3Ni at its relaxed geometry, with properties calculated at the GGA-PBE level.

abc: 6.267 6.267 5.505
angles: 90.00 90.00 113.74
Fractional positions:
Np1 0.248 0.752 0.750
Np2 0.752 0.248 0.250
Fe1 0.047 0.953 0.250
Fe2 0.953 0.047 0.750
Si1 0.249 0.249 0.000
Si2 0.249 0.249 0.500
Si3 0.250 0.750 0.250
Si4 0.750 0.250 0.750
Si5 0.751 0.751 0.000
Si6 0.751 0.751 0.500
Ni1 0.452 0.548 0.250
Ni2 0.548 0.452 0.750

Calculated values
E_form (uncorrected)   -0.63 eV per formula unit
Size of the total moment   0.64 μB/atom

---

Entry 2:
Below is crystalline NpFeNiSn at its relaxed geometry, with properties calculated at the GGA-PBE level.

abc: 4.601 4.601 4.601
angles: 60.00 60.00 60.00
Fractional positions:
Np1 0.000 0.000 0.000
Fe1 0.250 0.250 0.250
Ni1 0.750 0.750 0.750
Sn1 0.500 0.500 0.500

Calculated values
Size of the total moment   0.23 μB/atom
Energy of formation   -0.02 eV/atom

---

Entry 3:
Below is crystalline NpUFeNi at its relaxed geometry, with properties calculated at the GGA-PBE level.

abc: 4.413 4.413 4.413
angles: 60.00 60.00 60.00
Fractional positions:
Np1 0.000 0.000 0.000
U1 0.750 0.750 0.750
Fe1 0.500 0.500 0.500
Ni1 0.250 0.250 0.250

Calculated values
Size of the total moment   0.76 μB/atom
Energy of formation   -0.18 eV/atom